one:
## Sc2PdF (GGA-PBE)

Data for crystalline Sc2PdF at its relaxed geometry.

```
Sc2PdF
1.0
4.007 0.000 0.000
-2.004 3.470 0.000
0.000 0.000 20.134
Sc Pd F
6 3 3
Direct
0.000 0.000 0.101 Sc
0.000 0.000 0.899 Sc
0.333 0.667 0.566 Sc
0.333 0.667 0.768 Sc
0.667 0.333 0.232 Sc
0.667 0.333 0.434 Sc
0.000 0.000 0.500 Pd
0.333 0.667 0.167 Pd
0.667 0.333 0.833 Pd
0.000 0.000 0.000 F
0.333 0.667 0.667 F
0.667 0.333 0.333 F
```

Symmetry: R-3m

two:
## Sc2PdF (GGA-PBE)

Data for crystalline Sc2PdF at its relaxed geometry.

```
Sc2PdF
1.0
6.532 0.000 0.000
0.000 6.532 0.000
0.000 0.000 6.532
Sc Pd F
8 4 4
Direct
0.250 0.250 0.250 Sc
0.250 0.250 0.750 Sc
0.250 0.750 0.250 Sc
0.250 0.750 0.750 Sc
0.750 0.250 0.250 Sc
0.750 0.250 0.750 Sc
0.750 0.750 0.250 Sc
0.750 0.750 0.750 Sc
0.000 0.000 0.000 Pd
0.000 0.500 0.500 Pd
0.500 0.000 0.500 Pd
0.500 0.500 0.000 Pd
0.000 0.000 0.500 F
0.000 0.500 0.000 F
0.500 0.000 0.000 F
0.500 0.500 0.500 F
```

Symmetry: Fm-3m

Winner for stability: one

one:
## PdSeF3 (GGA-PBE)

Data for crystalline PdSeF3 at its relaxed geometry.

```
PdSeF3
1.0
4.284 0.000 0.000
0.000 4.284 0.000
0.000 0.000 4.284
Pd Se F
1 1 3
Direct
0.000 0.000 0.000 Pd
0.500 0.500 0.500 Se
0.000 0.000 0.500 F
0.000 0.500 0.000 F
0.500 0.000 0.000 F
```

Symmetry: Pm-3m

two:
## PdSeF3 (GGA-PBE)

Data for crystalline PdSeF3 at its relaxed geometry.

```
PdSeF3
1.0
4.329 0.000 0.000
0.000 4.329 0.000
0.000 0.000 4.329
Pd Se F
1 1 3
Direct
0.000 0.000 0.000 Pd
0.500 0.500 0.500 Se
0.000 0.500 0.500 F
0.500 0.000 0.500 F
0.500 0.500 0.000 F
```

Symmetry: Pm-3m

three:
## PdSeF3 (GGA-PBE)

Data for crystalline PdSeF3 at its relaxed geometry.

```
PdSeF3
1.0
3.311 -7.119 0.000
3.311 7.119 0.000
-3.224 0.000 7.266
Pd Se F
4 4 12
Direct
0.178 0.214 0.193 Pd
0.214 0.178 0.693 Pd
0.786 0.822 0.307 Pd
0.822 0.786 0.807 Pd
0.246 0.541 0.350 Se
0.459 0.754 0.150 Se
0.541 0.246 0.850 Se
0.754 0.459 0.650 Se
0.031 0.556 0.786 F
0.076 0.887 0.479 F
0.113 0.924 0.021 F
0.315 0.455 0.887 F
0.444 0.969 0.714 F
0.455 0.315 0.387 F
0.545 0.685 0.613 F
0.556 0.031 0.286 F
0.685 0.545 0.113 F
0.887 0.076 0.979 F
0.924 0.113 0.521 F
0.969 0.444 0.214 F
```

Symmetry: C2/c

Winner for stability: three

one:
## PdSeF2 (GGA-PBE)

Data for crystalline PdSeF2 at its relaxed geometry.

```
PdSeF2
1.0
2.925 0.000 0.000
-1.462 2.533 0.000
0.000 0.000 24.190
Pd Se F
3 3 6
Direct
0.000 0.000 0.000 Pd
0.333 0.667 0.667 Pd
0.667 0.333 0.333 Pd
0.000 0.000 0.500 Se
0.333 0.667 0.167 Se
0.667 0.333 0.833 Se
0.000 0.000 0.420 F
0.000 0.000 0.580 F
0.333 0.667 0.086 F
0.333 0.667 0.247 F
0.667 0.333 0.753 F
0.667 0.333 0.914 F
```

Symmetry: R-3m

two:
## PdSeF2 (GGA-PBE)

Data for crystalline PdSeF2 at its relaxed geometry.

```
PdSeF2
1.0
2.857 0.000 0.000
-1.428 2.474 0.000
0.000 0.000 24.468
Pd Se F
3 3 6
Direct
0.000 0.000 0.000 Pd
0.333 0.667 0.667 Pd
0.667 0.333 0.333 Pd
0.000 0.000 0.500 Se
0.333 0.667 0.167 Se
0.667 0.333 0.833 Se
0.000 0.000 0.080 F
0.000 0.000 0.920 F
0.333 0.667 0.586 F
0.333 0.667 0.747 F
0.667 0.333 0.253 F
0.667 0.333 0.414 F
```

Symmetry: R-3m

Winner for stability: one